# TiIr2Rh6 (PBE, optimized geometry)
data_TiIr2Rh6
_chemical_formula_sum 'Ti1 Ir2 Rh6'
_cell_length_a 7.605
_cell_length_b 7.605
_cell_length_c 7.605
_cell_angle_alpha 150.81
_cell_angle_beta 138.53
_cell_angle_gamma 51.52
_symmetry_space_group_name_H-M 'P 1'
_symmetry_Int_Tables_number 1
_symmetry_space_group_name_Hall 'P 1'
loop_
_atom_site_label
_atom_site_fract_x
_atom_site_fract_y
_atom_site_fract_z
Ti1 0.000 0.000 0.000
Ir1 0.510 0.010 0.500
Ir2 0.710 0.210 0.500
Rh1 0.066 0.789 0.277
Rh2 0.158 0.409 0.749
Rh3 0.349 0.603 0.746
Rh4 0.512 0.789 0.723
Rh5 0.661 0.409 0.251
Rh6 0.857 0.603 0.254
# Space-group type: Imm2
# Total DFT energy (no corrections) (eV per atom): -7.6565
# Calculated formation energy (eV per atom): 0.0908
# Magnetic moment (μB per formula unit): 0.000